DFT (PBE with a Hubbard U) results for an optimized crystal structure of Fe2C2O7.

Output
E_tot: -7.176 eV/atom
magnetization: 10.0 μB/f.u.

```
data_Fe2C2O7
_space_group_name_H-M_alt 'P -1'
_space_group_IT_number 2
_cell_length_a 4.9581
_cell_length_b 4.9731
_cell_length_c 16.2420
_cell_angle_alpha 87.37
_cell_angle_beta 85.19
_cell_angle_gamma 60.13
loop_
_space_group_symop_operation_xyz
'x,y,z'
'-x,-y,-z'
loop_
_atom_site_label
_atom_site_fract_x
_atom_site_fract_y
_atom_site_fract_z
Fe1 0.0334 0.3456 0.3608
Fe2 0.1188 0.3445 0.1363
C1 0.1975 0.9940 0.9022
C2 0.3122 0.9928 0.6003
O1 0.0576 0.0173 0.0980
O2 0.0604 0.2586 0.5958
O3 0.0677 0.3624 0.2485
O4 0.1836 0.2595 0.9079
O5 0.2990 0.7399 0.6044
O6 0.4208 0.0192 0.4003
O7 0.4631 0.7413 0.8978
```